[1]
A relaxed structure of Cs3Y3NpS8. Source: the Alexandria database, functional GGA-PBE.

Properties
Symmetry: R-3m, No. 166
Formation energy from raw total energies (eV/atom): -1.749

Lattice parameters (Å, degrees): 8.1280 8.1282 9.4534 115.49 90.00 120.00
Last column: nearest neighbours and their distance in Å.
Atoms (fractional coordinates):
Cs 0.0000 0.0000 0.0000  6 S 3.52-3.53
Cs 0.0000 0.5000 0.0000  6 S 3.52-3.53
Cs 0.5000 0.5000 0.0000  6 S 3.52-3.53
Y 0.5000 0.0000 0.5000  6 S 2.77-2.78
Y 0.5000 0.5000 0.5000  6 S 2.77-2.78
Y 0.0000 0.5000 0.5000  6 S 2.77-2.78
Np 0.0000 0.0000 0.5000  6 S 2.72
S 0.2733 0.5467 0.3202  3 Y 2.77
S 0.7267 0.4533 0.6798  3 Y 2.77
S 0.7775 0.5550 0.3232  1 Np 2.72, 2 Y 2.78
S 0.2225 0.4450 0.6768  1 Np 2.72, 2 Y 2.78
S 0.7775 0.0455 0.3232  1 Np 2.72, 2 Y 2.78
S 0.2225 0.9545 0.6768  1 Np 2.72, 2 Y 2.78
S 0.2680 0.0455 0.3232  1 Np 2.72, 2 Y 2.78
S 0.7320 0.9545 0.6768  1 Np 2.72, 2 Y 2.78

=====

[2]
A relaxed structure of Pr3Ho3Er. Source: the Alexandria database, functional GGA-PBE.

Properties
Energy above the lowest structure with this stoichiometry (meV per atom): 0.0
Symmetry: P6_3/m, No. 176
ΔE_f (eV per formula unit): 0.2

Lattice parameters (Å, degrees): 5.7880 9.6613 9.6609 120.01 90.00 90.00
Last column: nearest neighbours and their distance in Å.
Atoms (fractional coordinates):
Pr 0.7500 0.7553 0.8054  5 Ho 3.57-3.70, 1 Er 3.60, 6 Pr 3.61-3.75
Pr 0.7500 0.0505 0.2449  5 Ho 3.57-3.70, 1 Er 3.60, 6 Pr 3.61-3.75
Pr 0.7500 0.1944 0.9499  5 Ho 3.57-3.70, 1 Er 3.60, 6 Pr 3.61-3.74
Pr 0.2500 0.2447 0.1946  5 Ho 3.57-3.70, 1 Er 3.60, 6 Pr 3.61-3.75
Pr 0.2500 0.9495 0.7551  5 Ho 3.57-3.70, 1 Er 3.60, 6 Pr 3.61-3.75
Pr 0.2500 0.8056 0.0501  5 Ho 3.57-3.70, 1 Er 3.60, 6 Pr 3.61-3.74
Ho 0.2500 0.5194 0.6152  4 Ho 3.55-3.62, 3 Er 3.57-3.65, 5 Pr 3.57-3.70
Ho 0.2500 0.0956 0.4806  4 Ho 3.55-3.62, 3 Er 3.57-3.65, 5 Pr 3.57-3.70
Ho 0.2500 0.3848 0.9045  4 Ho 3.55-3.62, 3 Er 3.57-3.65, 5 Pr 3.57-3.70
Ho 0.7500 0.4806 0.3848  4 Ho 3.55-3.62, 3 Er 3.57-3.65, 5 Pr 3.57-3.70
Ho 0.7500 0.9044 0.5194  4 Ho 3.55-3.62, 3 Er 3.57-3.65, 5 Pr 3.57-3.70
Ho 0.7500 0.6152 0.0955  4 Ho 3.55-3.62, 3 Er 3.57-3.65, 5 Pr 3.57-3.70
Er 0.7500 0.3334 0.6668  9 Ho 3.57-3.65, 3 Pr 3.60
Er 0.2500 0.6666 0.3332  9 Ho 3.57-3.65, 3 Pr 3.60

=====

[3]
A relaxed structure of ZnAg2Ru. Source: the Alexandria database, functional GGA-PBE.

Properties
Symmetry: I-4m2, No. 119
ΔE_f (eV per formula unit): 1.3

Lattice parameters (Å, degrees): 4.6955 4.6955 4.6955 127.09 127.09 78.11
Last column: nearest neighbours and their distance in Å.
Atoms (fractional coordinates):
Ag 0.0000 0.0000 0.0000  4 Ag 2.77, 4 Zn 2.77, 4 Ru 2.96
Ag 0.2500 0.7500 0.5000  4 Ru 2.77, 4 Ag 2.77, 4 Zn 2.96
Ru 0.5000 0.5000 0.0000  4 Zn 2.77, 8 Ag 2.77-2.96
Zn 0.7500 0.2500 0.5000  8 Ag 2.77-2.96, 4 Ru 2.77

=====

[4]
A relaxed structure of Pm2EuGa. Source: the Alexandria database, functional GGA-PBE.

Properties
Energy above the lowest structure with this stoichiometry (meV per atom): 0.0
Symmetry: P4/mmm, No. 123
ΔE_f (eV per formula unit): -0.9

Lattice parameters (Å, degrees): 3.6849 3.6849 9.1987 90.00 90.00 90.00
Last column: nearest neighbours and their distance in Å.
Atoms (fractional coordinates):
Eu 0.5000 0.5000 0.5000  4 Eu 3.68, 8 Pm 3.83
Ga 0.5000 0.5000 0.0000  8 Pm 3.16
Pm 0.0000 0.0000 0.8053  4 Ga 3.16
Pm 0.0000 0.0000 0.1947  4 Ga 3.16

=====

[5]
A relaxed structure of BaCdIn4. Source: the Alexandria database, functional GGA-PBE.

Properties
Energy above the lowest structure with this stoichiometry (meV per atom): 15.4
Symmetry: F-43m, No. 216
ΔE_f (eV per formula unit): -0.9

Lattice parameters (Å, degrees): 6.3787 6.3787 6.3787 60.00 60.00 60.00
Last column: nearest neighbours and their distance in Å.
Atoms (fractional coordinates):
Ba 0.7500 0.7500 0.7500  12 In 3.74, 4 Cd 3.91
Cd 0.0000 0.0000 0.0000  12 In 3.74, 4 Ba 3.91
In 0.8761 0.3746 0.3746  6 In 3.18-3.20
In 0.3746 0.3746 0.8761  6 In 3.18-3.20
In 0.3746 0.8761 0.3746  6 In 3.18-3.20
In 0.3746 0.3746 0.3746  6 In 3.18-3.20

=====

[6]
A relaxed structure of Ba3InP3. Source: the Alexandria database, functional GGA-PBE.

Properties
Symmetry: Pnma, No. 62
ΔE_f (eV per formula unit): -6.4

Lattice parameters (Å, degrees): 4.5278 13.9578 14.3649 90.00 90.00 90.00
Last column: nearest neighbours and their distance in Å.
Atoms (fractional coordinates):
Ba 0.7500 0.7204 0.8035  5 P 3.20-3.34, 2 In 3.58
Ba 0.2500 0.7796 0.3035  5 P 3.20-3.34, 2 In 3.58
Ba 0.2500 0.2796 0.1965  5 P 3.20-3.34, 2 In 3.58
Ba 0.7500 0.2204 0.6965  5 P 3.20-3.34, 2 In 3.58
Ba 0.7500 0.1310 0.9927  5 P 3.18-3.42
Ba 0.2500 0.3690 0.4927  5 P 3.18-3.42
Ba 0.2500 0.8690 0.0073  5 P 3.18-3.42
Ba 0.7500 0.6310 0.5073  5 P 3.18-3.42
Ba 0.7500 0.9162 0.6054  6 P 3.19-3.55
Ba 0.2500 0.5838 0.1054  6 P 3.19-3.55
Ba 0.2500 0.0838 0.3946  6 P 3.19-3.55
Ba 0.7500 0.4162 0.8946  6 P 3.19-3.55
In 0.7500 0.9509 0.2050  4 P 2.60-2.73
In 0.2500 0.5491 0.7050  4 P 2.60-2.73
In 0.2500 0.0491 0.7950  4 P 2.60-2.73
In 0.7500 0.4509 0.2950  4 P 2.60-2.73
P 0.7500 0.9550 0.8496  2 In 2.73
P 0.2500 0.5450 0.3496  2 In 2.73
P 0.2500 0.0450 0.1504  2 In 2.73
P 0.7500 0.4550 0.6504  2 In 2.73
P 0.7500 0.9194 0.3832  1 In 2.60
P 0.2500 0.5806 0.8832  1 In 2.60
P 0.2500 0.0806 0.6168  1 In 2.60
P 0.7500 0.4194 0.1168  1 In 2.60
P 0.7500 0.7740 0.1324  1 In 2.68
P 0.2500 0.7260 0.6324  1 In 2.68
P 0.2500 0.2260 0.8676  1 In 2.68
P 0.7500 0.2740 0.3676  1 In 2.68

=====

| no. | calculated volume (Å³/cell) | DFT total energy (eV/atom) |
| --- | --- | --- |
| 1 | 469.4 | -6.277 |
| 2 | 467.8 | -4.637 |
| 3 | 63.8 | -3.732 |
| 4 | 124.9 | -5.928 |
| 5 | 183.5 | -2.443 |
| 6 | 907.8 | -4.442 |